Entry 1:
Entry from Alexandria: a geometry-optimized GaTc2Ag structure (PBE-GGA).

Cell lengths 5.747, 5.747, 5.747 Å; angles 101.00, 101.00, 128.20 degrees
Sites, in units of the cell vectors:
Ga 0.000 0.000 0.000
Ga 0.750 0.250 0.500
Tc 0.091 0.625 0.966
Tc 0.375 0.341 0.466
Tc 0.659 0.125 0.034
Tc 0.875 0.909 0.534
Ag 0.250 0.750 0.500
Ag 0.500 0.500 0.000

Computed properties:
DOS at the Fermi energy: 1.037 states/eV/atom
space group: I-42d (122)
formation enthalpy at 0 K: 709 meV/atom

Entry 2:
Entry from Alexandria: a geometry-optimized Ga2TcAg structure (PBE-GGA).

Cell lengths 3.217, 3.217, 6.111 Å; angles 90.00, 90.00, 90.00 degrees
Sites, in units of the cell vectors:
Ga 0.000 0.000 0.218
Ga 0.000 0.000 0.782
Tc 0.500 0.500 0.000
Ag 0.500 0.500 0.500

Computed properties:
DOS at the Fermi energy: 0.590 states/eV/atom
space group: P4/mmm (123)
energy relative to the lowest polymorph listed for this composition: 0 meV per atom
formation enthalpy at 0 K: -23 meV/atom

Entry 3:
Entry from Alexandria: a geometry-optimized Ga2TcAg structure (PBE-GGA).

Cell lengths 4.468, 4.468, 6.732 Å; angles 122.03, 122.03, 36.20 degrees
Sites, in units of the cell vectors:
Ga 0.000 0.000 0.000
Ga 0.245 0.245 0.548
Tc 0.627 0.627 0.783
Ag 0.386 0.386 0.262

Computed properties:
DOS at the Fermi energy: 0.395 states/eV/atom
space group: Cm (8)
energy relative to the lowest polymorph listed for this composition: 124 meV per atom
formation enthalpy at 0 K: 101 meV/atom

Entry 4:
Entry from Alexandria: a geometry-optimized Ga2TcAg2 structure (PBE-GGA).

Cell lengths 7.470, 7.470, 2.936 Å; angles 90.00, 90.00, 90.00 degrees
Sites, in units of the cell vectors:
Ga 0.162 0.338 0.000
Ga 0.338 0.838 0.000
Ga 0.662 0.162 0.000
Ga 0.838 0.662 0.000
Tc 0.000 0.000 0.000
Tc 0.500 0.500 0.000
Ag 0.139 0.639 0.500
Ag 0.361 0.139 0.500
Ag 0.639 0.861 0.500
Ag 0.861 0.361 0.500

Computed properties:
DOS at the Fermi energy: 0.547 states/eV/atom
space group: P4/mbm (127)
formation enthalpy at 0 K: 287 meV/atom

Entry 5:
Entry from Alexandria: a geometry-optimized Ga4TcAg structure (PBE-GGA).

Cell lengths 7.055, 7.055, 5.210 Å; angles 109.36, 109.36, 93.53 degrees
Sites, in units of the cell vectors:
Ga 0.094 0.691 0.910
Ga 0.167 0.335 0.709
Ga 0.309 0.906 0.590
Ga 0.335 0.167 0.209
Ga 0.665 0.833 0.791
Ga 0.691 0.094 0.410
Ga 0.833 0.665 0.291
Ga 0.906 0.309 0.090
Tc 0.001 0.999 0.750
Tc 0.999 0.001 0.250
Ag 0.435 0.565 0.250
Ag 0.565 0.435 0.750

Computed properties:
DOS at the Fermi energy: 0.314 states/eV/atom
space group: C2/c (15)
formation enthalpy at 0 K: -21 meV/atom

Entry 6:
Entry from Alexandria: a geometry-optimized Ga2TcAg structure (PBE-GGA).

Cell lengths 4.320, 4.320, 3.291 Å; angles 90.00, 90.00, 90.00 degrees
Sites, in units of the cell vectors:
Ga 0.000 0.500 0.000
Ga 0.500 0.000 0.000
Tc 0.000 0.000 0.500
Ag 0.500 0.500 0.500

Computed properties:
DOS at the Fermi energy: 0.516 states/eV/atom
space group: P4/mmm (123)
energy relative to the lowest polymorph listed for this composition: 14 meV per atom
formation enthalpy at 0 K: -10 meV/atom

Question: What is the DOS at the Fermi energy in the third record?
Answer: 0.395 states/eV/atom

Question: Among the records above, which one has the lowest formation enthalpy at 0 K?
Answer: number 2

Question: Look up the formation enthalpy at 0 K of the second one.
Answer: -23 meV/atom